KInMo2: relaxed, PBE-GGA.

Calculated values
calculated formation energy: 18.651 kcal/mol of atoms

Cell lengths 10.4642, 3.2142, 6.6994 Å; angles 90.00, 96.82, 90.00 degrees
Space group C2/m (No. 12)
Inequivalent atoms, fractional coordinates:
1 K 0.0000 0.0000 0.0000
2 In 0.0000 0.5000 0.5000
3 Mo 0.2346 0.0000 0.6231

Tm3ZnFe8: relaxed, PBE-GGA.

Calculated values
calculated formation energy: -2.318 kcal/mol of atoms

Cell lengths 5.0120, 5.0120, 24.5323 Å; angles 90.00, 90.00, 120.00 degrees
Space group R3m (No. 160, hexagonal axes)
Inequivalent atoms, fractional coordinates:
1 Tm 0.0000 0.0000 0.0000
2 Tm 0.0000 0.0000 0.1277
3 Tm 0.0000 0.0000 0.6195
4 Zn 0.0000 0.0000 0.4973
5 Fe 0.0000 0.0000 0.3122
6 Fe 0.0000 0.0000 0.8113
7 Fe 0.0013 0.5007 0.0632
8 Fe 0.0013 0.5006 0.5605

Size of the total moment values (in μB per formula unit) by entry order: 0.00 14.50.
Theoretical density values (in g/cm3) by entry order: 5.13 9.51.
Calculated total energy values (in eV/atom) by entry order: -5.566 -6.966.